Below is crystalline SmV4Cu3O12 at its relaxed geometry, with properties calculated at the PBE with a Hubbard U level.

Calculated values
- Space group: No. 204
- Final energy: -7.062 eV/atom
- M_tot: 0.10 μB/atom

abc: 6.435 6.435 6.435
angles: 109.47 109.47 109.47
Element x y z (fractional)
Sm1 0.000 0.000 0.000
V1 0.000 0.000 0.500
V2 0.000 0.500 0.000
V3 0.500 0.000 0.000
V4 0.500 0.500 0.500
Cu1 0.000 0.500 0.500
Cu2 0.500 0.000 0.500
Cu3 0.500 0.500 0.000
O1 0.119 0.297 0.821
O2 0.179 0.476 0.297
O3 0.179 0.881 0.703
O4 0.297 0.179 0.476
O5 0.297 0.821 0.119
O6 0.476 0.297 0.179
O7 0.524 0.703 0.821
O8 0.703 0.179 0.881
O9 0.703 0.821 0.524
O10 0.821 0.119 0.297
O11 0.821 0.524 0.703
O12 0.881 0.703 0.179